[1]
Material: Ca3Nd2Rh2
Method: DFT, PBE
State: relaxed

The final energy is -4.7456 eV per atom. The value obtained for the formation energy is -0.43 eV/atom. The space group is No. 12.

abc: 12.7366 4.0379 8.5292
angles: 90.00 111.34 90.00
Last column: nearest neighbours and their distance in Å.
Positions (direct):
Ca (0.0000, 0.0000, 0.0000)  4 Rh 3.08, 2 Ca 3.42
Ca (0.1285, 0.0000, 0.4289)  3 Rh 3.09-3.22, 1 Ca 3.42
Ca (0.3715, 0.5000, 0.5711)  3 Rh 3.09-3.22, 1 Ca 3.42
Ca (0.5000, 0.5000, 0.0000)  4 Rh 3.08, 2 Ca 3.42
Ca (0.6285, 0.5000, 0.4289)  3 Rh 3.09-3.22, 1 Ca 3.42
Ca (0.8715, 0.0000, 0.5711)  3 Rh 3.09-3.22, 1 Ca 3.42
Nd (0.1691, 0.5000, 0.8185)  2 Rh 2.78
Nd (0.3309, 0.0000, 0.1815)  2 Rh 2.78
Nd (0.6691, 0.0000, 0.8185)  2 Rh 2.78
Nd (0.8309, 0.5000, 0.1815)  2 Rh 2.78
Rh (0.1842, 0.5000, 0.1954)  2 Nd 2.78, 4 Ca 3.08-3.09
Rh (0.3158, 0.0000, 0.8046)  2 Nd 2.78, 4 Ca 3.08-3.09
Rh (0.6842, 0.0000, 0.1954)  2 Nd 2.78, 4 Ca 3.08-3.09
Rh (0.8158, 0.5000, 0.8046)  2 Nd 2.78, 4 Ca 3.08-3.09

[2]
Material: CaNd3Rh8
Method: DFT, PBE
State: relaxed

The final energy is -6.8700 eV per atom. The value obtained for the formation energy is -0.61 eV/atom. The space group is No. 160.

abc: 9.3843 9.3843 9.3843
angles: 33.42 33.42 33.42
Last column: nearest neighbours and their distance in Å.
Positions (direct):
Ca (0.0000, 0.0000, 0.0000)  12 Rh 3.16-3.18, 4 Nd 3.28
Nd (0.3721, 0.3721, 0.3721)  12 Rh 3.13-3.20, 3 Ca 3.28, 1 Nd 3.36
Nd (0.4986, 0.4986, 0.4986)  12 Rh 3.16-3.19, 4 Nd 3.33-3.36
Nd (0.8763, 0.8763, 0.8763)  12 Rh 3.14-3.22, 1 Ca 3.28, 3 Nd 3.33
Rh (0.1868, 0.1868, 0.1868)  6 Rh 2.71
Rh (0.4371, 0.4371, 0.9359)  6 Rh 2.69-2.71
Rh (0.4371, 0.9359, 0.4371)  6 Rh 2.69-2.71
Rh (0.4373, 0.9364, 0.9364)  6 Rh 2.69-2.71
Rh (0.6867, 0.6867, 0.6867)  6 Rh 2.70-2.71
Rh (0.9359, 0.4371, 0.4371)  6 Rh 2.69-2.71
Rh (0.9364, 0.4373, 0.9364)  6 Rh 2.69-2.71
Rh (0.9364, 0.9364, 0.4373)  6 Rh 2.69-2.71

[3]
Material: Ca2NdRh
Method: DFT, PBE
State: relaxed

The final energy is -4.3825 eV per atom. The value obtained for the formation energy is -0.35 eV/atom. The space group is No. 62.

abc: 7.5521 9.7126 6.5348
angles: 90.00 90.00 90.00
Last column: nearest neighbours and their distance in Å.
Positions (direct):
Ca (0.1736, 0.0666, 0.1625)  3 Rh 3.00-3.34
Ca (0.1736, 0.4334, 0.1625)  3 Rh 3.00-3.34
Ca (0.3264, 0.5666, 0.6625)  3 Rh 3.00-3.34
Ca (0.3264, 0.9334, 0.6625)  3 Rh 3.00-3.34
Ca (0.6736, 0.0666, 0.3375)  3 Rh 3.00-3.34
Ca (0.6736, 0.4334, 0.3375)  3 Rh 3.00-3.34
Ca (0.8264, 0.5666, 0.8375)  3 Rh 3.00-3.34
Ca (0.8264, 0.9334, 0.8375)  3 Rh 3.00-3.34
Nd (0.0431, 0.2500, 0.6421)  2 Rh 2.75-2.80
Nd (0.4569, 0.7500, 0.1421)  2 Rh 2.75-2.80
Nd (0.5431, 0.2500, 0.8579)  2 Rh 2.75-2.80
Nd (0.9569, 0.7500, 0.3579)  2 Rh 2.75-2.80
Rh (0.1227, 0.7500, 0.9738)  2 Nd 2.75-2.80, 2 Ca 3.00
Rh (0.3773, 0.2500, 0.4738)  2 Nd 2.75-2.80, 2 Ca 3.00
Rh (0.6227, 0.7500, 0.5262)  2 Nd 2.75-2.80, 2 Ca 3.00
Rh (0.8773, 0.2500, 0.0262)  2 Nd 2.75-2.80, 2 Ca 3.00

[4]
Material: CaNdSnRh
Method: DFT, PBE
State: relaxed

The final energy is -5.1535 eV per atom. The value obtained for the formation energy is -0.62 eV/atom. The space group is No. 38.

abc: 3.8376 4.6086 11.9477
angles: 90.00 90.00 90.00
Last column: nearest neighbours and their distance in Å.
Positions (direct):
Ca (0.0000, 0.0000, 0.0000)  1 Rh 2.98, 4 Sn 3.19
Ca (0.0000, 0.5000, 0.5000)  1 Rh 2.98, 4 Sn 3.19
Nd (0.5000, 0.0000, 0.2954)  4 Rh 3.05, 2 Sn 3.36
Nd (0.5000, 0.5000, 0.7954)  4 Rh 3.05, 2 Sn 3.36
Sn (0.5000, 0.0000, 0.5903)  2 Rh 2.71
Sn (0.5000, 0.5000, 0.0903)  2 Rh 2.71
Rh (0.0000, 0.0000, 0.7503)  2 Sn 2.71, 1 Ca 2.98
Rh (0.0000, 0.5000, 0.2503)  2 Sn 2.71, 1 Ca 2.98

[5]
Material: CaNdSnRh
Method: DFT, PBE
State: relaxed

The final energy is -5.0399 eV per atom. The value obtained for the formation energy is -0.51 eV/atom. The space group is No. 216.

abc: 7.3586 7.3586 7.3586
angles: 90.00 90.00 90.00
Last column: nearest neighbours and their distance in Å.
Positions (direct):
Ca (0.0000, 0.0000, 0.0000)  4 Sn 3.19, 4 Rh 3.19
Ca (0.0000, 0.5000, 0.5000)  4 Sn 3.19, 4 Rh 3.19
Ca (0.5000, 0.0000, 0.5000)  4 Sn 3.19, 4 Rh 3.19
Ca (0.5000, 0.5000, 0.0000)  4 Sn 3.19, 4 Rh 3.19
Nd (0.0000, 0.0000, 0.5000)  4 Sn 3.19, 4 Rh 3.19
Nd (0.0000, 0.5000, 0.0000)  4 Sn 3.19, 4 Rh 3.19
Nd (0.5000, 0.0000, 0.0000)  4 Sn 3.19, 4 Rh 3.19
Nd (0.5000, 0.5000, 0.5000)  4 Sn 3.19, 4 Rh 3.19
Sn (0.2500, 0.2500, 0.2500)  4 Nd 3.19, 4 Ca 3.19
Sn (0.2500, 0.7500, 0.7500)  4 Nd 3.19, 4 Ca 3.19
Sn (0.7500, 0.2500, 0.7500)  4 Nd 3.19, 4 Ca 3.19
Sn (0.7500, 0.7500, 0.2500)  4 Nd 3.19, 4 Ca 3.19
Rh (0.2500, 0.2500, 0.7500)  4 Nd 3.19, 4 Ca 3.19
Rh (0.2500, 0.7500, 0.2500)  4 Nd 3.19, 4 Ca 3.19
Rh (0.7500, 0.2500, 0.2500)  4 Nd 3.19, 4 Ca 3.19
Rh (0.7500, 0.7500, 0.7500)  4 Nd 3.19, 4 Ca 3.19

[6]
Material: CaNd2Ta2Rh5
Method: DFT, PBE
State: relaxed

The final energy is -7.5851 eV per atom. The value obtained for the formation energy is -0.39 eV/atom. The space group is No. 127.

abc: 10.4941 10.4941 3.7902
angles: 90.00 90.00 90.00
Last column: nearest neighbours and their distance in Å.
Positions (direct):
Ca (0.0000, 0.0000, 0.0000)  8 Rh 3.10
Ca (0.5000, 0.5000, 0.0000)  8 Rh 3.10
Nd (0.1794, 0.3206, 0.0000)  3 Ta 3.01-3.18, 10 Rh 3.27-3.35
Nd (0.3206, 0.8206, 0.0000)  3 Ta 3.01-3.18, 10 Rh 3.27-3.35
Nd (0.6794, 0.1794, 0.0000)  3 Ta 3.01-3.18, 10 Rh 3.27-3.35
Nd (0.8206, 0.6794, 0.0000)  3 Ta 3.01-3.18, 10 Rh 3.27-3.35
Ta (0.1174, 0.6174, 0.0000)  6 Rh 2.57-2.58
Ta (0.3826, 0.1174, 0.0000)  6 Rh 2.57-2.58
Ta (0.6174, 0.8826, 0.0000)  6 Rh 2.57-2.58
Ta (0.8826, 0.3826, 0.0000)  6 Rh 2.57-2.58
Rh (0.0000, 0.5000, 0.5000)  4 Ta 2.57
Rh (0.0655, 0.7759, 0.5000)  2 Ta 2.58
Rh (0.2241, 0.0655, 0.5000)  2 Ta 2.58
Rh (0.2759, 0.5655, 0.5000)  2 Ta 2.58
Rh (0.4345, 0.2759, 0.5000)  2 Ta 2.58
Rh (0.5000, 0.0000, 0.5000)  4 Ta 2.57
Rh (0.5655, 0.7241, 0.5000)  2 Ta 2.58
Rh (0.7241, 0.4345, 0.5000)  2 Ta 2.58
Rh (0.7759, 0.9345, 0.5000)  2 Ta 2.58
Rh (0.9345, 0.2241, 0.5000)  2 Ta 2.58

[7]
Material: CaNdRu
Method: DFT, PBE
State: relaxed

The final energy is -5.3944 eV per atom. The value obtained for the formation energy is -0.05 eV/atom. The space group is No. 2.

abc: 3.5249 6.9770 7.0473
angles: 76.02 89.87 75.41
Last column: nearest neighbours and their distance in Å.
Positions (direct):
Ca (0.1235, 0.2503, 0.0609)  4 Ru 3.07-3.08, 1 Ca 3.27
Ca (0.8765, 0.7497, 0.9391)  4 Ru 3.07-3.08, 1 Ca 3.27
Nd (0.1303, 0.2421, 0.5657)  4 Ru 2.90-2.94
Nd (0.8697, 0.7579, 0.4343)  4 Ru 2.90-2.94
Ru (0.4997, 0.4997, 0.2727)  4 Nd 2.90-2.94, 4 Ca 3.07-3.08, 1 Ru 3.20
Ru (0.5003, 0.5003, 0.7273)  4 Nd 2.90-2.94, 4 Ca 3.07-3.08, 1 Ru 3.20

[8]
Material: CaNdRu
Method: DFT, PBE
State: relaxed

The final energy is -5.3744 eV per atom. The value obtained for the formation energy is -0.03 eV/atom. The space group is No. 107.

abc: 3.5251 3.5251 13.2484
angles: 90.00 90.00 90.00
Last column: nearest neighbours and their distance in Å.
Positions (direct):
Ca (0.0000, 0.0000, 0.0000)  4 Ru 3.07, 1 Nd 3.32
Ca (0.5000, 0.5000, 0.5000)  4 Ru 3.07, 1 Nd 3.32
Nd (0.0000, 0.0000, 0.2506)  4 Ru 2.92
Nd (0.5000, 0.5000, 0.7506)  4 Ru 2.92
Ru (0.0000, 0.0000, 0.6355)  4 Nd 2.92, 4 Ca 3.07
Ru (0.5000, 0.5000, 0.1355)  4 Nd 2.92, 4 Ca 3.07

> Which of these has the lowest final energy?

CaNd2Ta2Rh5